Entry from OQMD: HoErHg2 after structural relaxation (PBE).

Cell and atoms, written as extended XYZ:
```
8
Lattice="5.142 0.000 0.000 0.000 3.373 5.817 0.000 -3.373 5.817" Properties=species:S:1:pos:R:3 pbc="T T T"
Er 2.571 -1.776 4.972
Hg 0.000 -1.683 6.701
Hg 0.000 0.000 9.704
Hg 0.000 1.683 6.701
Ho 0.000 0.000 3.641
Hg 2.571 0.000 2.039
Er 2.571 1.776 4.972
Ho 2.571 0.000 7.808
```

Summary:
* formation energy from the elements: -273 meV per atom
* symmetry: Amm2, No. 38

***

Entry from OQMD: HoErHg6 after structural relaxation (PBE).

Cell and atoms, written as extended XYZ:
```
8
Lattice="4.854 0.000 0.000 0.000 3.529 5.435 0.000 -3.529 5.435" Properties=species:S:1:pos:R:3 pbc="T T T"
Hg 2.427 0.000 7.338
Hg 0.000 0.000 3.538
Hg 2.427 1.628 4.424
Hg 0.000 1.623 6.443
Hg 2.427 -1.628 4.424
Ho 2.427 0.000 1.542
Er 0.000 0.000 9.329
Hg 0.000 -1.623 6.443
```

Summary:
* formation energy from the elements: -320 meV per atom
* symmetry: Amm2, No. 38
* energy above the lowest structure with this stoichiometry: 9 meV/atom

***

Entry from OQMD: Ho2ErHg after structural relaxation (PBE).

Cell and atoms, written as extended XYZ:
```
8
Lattice="3.409 -5.907 0.000 3.409 5.907 0.000 0.000 0.000 5.372" Properties=species:S:1:pos:R:3 pbc="T T T"
Hg 3.409 1.971 4.029
Ho 5.059 1.015 1.343
Hg 3.409 -1.971 1.343
Er 3.409 3.875 1.343
Ho 1.759 -1.015 4.029
Er 3.409 -3.875 4.029
Ho 5.059 -1.015 4.029
Ho 1.759 1.015 1.343
```

Summary:
* formation energy from the elements: -166 meV per atom
* symmetry: Cmcm, No. 63
* energy above the lowest structure with this stoichiometry: 32 meV/atom

***

Entry from OQMD: Ho5Er2Hg after structural relaxation (PBE).

Cell and atoms, written as extended XYZ:
```
8
Lattice="-3.931 -3.221 -2.095 4.873 -4.521 -2.194 2.060 -5.229 4.173" Properties=species:S:1:pos:R:3 pbc="T T T"
Ho 3.809 -9.730 0.601
Er 4.653 -6.544 1.328
Ho 2.806 -7.134 -1.510
Ho 1.374 -7.494 1.730
Ho 2.153 -4.223 2.452
Hg 1.154 -1.623 0.329
Ho 3.595 -3.860 -0.811
Er 0.326 -4.833 -0.393
```

Summary:
* formation energy from the elements: -37 meV per atom
* symmetry: Amm2, No. 38

***

Entry from OQMD: HoEr2Mg3In2Hg after structural relaxation (PBE).

Cell and atoms, written as extended XYZ:
```
9
Lattice="-3.564 2.809 -0.685 -3.676 -5.510 -3.475 -0.709 0.904 7.392" Properties=species:S:1:pos:R:3 pbc="T T T"
Mg -5.118 -2.100 2.637
Mg -1.951 1.621 1.424
In -3.479 0.172 3.432
Er -0.410 0.522 4.272
Er -2.125 -3.185 -2.008
Ho -1.852 -1.946 1.654
In -4.471 -1.971 -0.199
Hg -4.381 -4.602 3.913
Mg -2.660 0.087 -1.173
```

Summary:
* symmetry: Amm2, No. 38

***

Entry from OQMD: Er2InHg after structural relaxation (PBE).

Cell and atoms, written as extended XYZ:
```
4
Lattice="3.688 0.000 0.000 0.000 3.688 0.000 0.000 0.000 7.490" Properties=species:S:1:pos:R:3 pbc="T T T"
In 0.000 0.000 3.745
Er 1.844 1.844 1.834
Er 1.844 1.844 5.656
Hg 0.000 0.000 0.000
```

Summary:
* symmetry: P4/mmm, No. 123

***

Entry from OQMD: ErInHg after structural relaxation (PBE).

Cell and atoms, written as extended XYZ:
```
3
Lattice="0.000 3.447 3.447 3.447 0.000 3.447 3.447 3.447 0.000" Properties=species:S:1:pos:R:3 pbc="T T T"
Er 1.723 1.723 1.723
Hg 5.170 5.170 5.170
In 0.000 0.000 0.000
```

Summary:
* symmetry: F-43m, No. 216

***

Entry from OQMD: Er3Mg3InHg2 after structural relaxation (PBE).

Cell and atoms, written as extended XYZ:
```
9
Lattice="7.431 0.000 0.000 -3.716 6.435 0.000 0.000 0.000 4.588" Properties=species:S:1:pos:R:3 pbc="T T T"
Mg 0.910 1.576 2.294
Er 2.115 3.664 0.000
Hg 3.716 2.145 2.294
In 0.000 0.000 0.000
Mg -2.806 4.859 2.294
Er 3.200 0.000 0.000
Er -1.600 2.772 0.000
Mg 5.611 0.000 2.294
Hg 0.000 4.290 2.294
```

Summary:
* symmetry: P-62m, No. 189

***

Across the entries above, total DFT energy (no corrections) takes the values -2.706, -1.686, -3.670, -4.075, -3.081, -3.505, -2.730, -2.772 eV/atom, respectively.